Rb2Pa3CuO12: optimized geometry, PBE.

```
18
Lattice="3.9835 2.2999 6.0242 -3.9835 2.2999 6.0242 0.0000 -4.5998 6.0242" Properties=species:S:1:pos:R:3 pbc="T T T"
Rb 0.0000 0.0000 2.4697
Rb 0.0000 0.0000 15.6029
Pa -1.9918 -1.1499 6.0242
Pa -1.9918 1.1499 12.0484
Pa 0.0000 2.2999 6.0242
Cu 0.0000 0.0000 9.0363
O 0.0000 -1.7424 5.3885
O -1.5090 0.8712 5.3885
O -1.3631 -0.7870 7.9841
O 0.0000 -1.5740 10.0885
O -1.3631 0.7870 10.0885
O -1.5090 -0.8712 12.6841
O 1.5090 0.8712 5.3885
O 1.3631 -0.7870 7.9841
O 0.0000 1.5740 7.9841
O 1.3631 0.7870 10.0885
O 1.5090 -0.8712 12.6841
O 0.0000 1.7424 12.6841
```

Calculated values
Space-group type ... No. 166
ρ ... 5.6 g/cm³
Formation energy (no corrections) ... -2.261 eV/atom
Total magnetic moment ... 1.363 Bohr magnetons per cell